A:
10
Lattice="4.2832 0.0000 0.0000 0.0000 4.2832 0.0000 0.0000 0.0000 18.3849" Properties=species:S:1:pos:R:3 comment="Pm5Pr4Tl | the Alexandria database | PBE-GGA | optimized geometry" volume_a3_per_atom=33.73 pbc="T T T"
Pm 2.1416 2.1416 5.3658
Pm 2.1416 2.1416 16.7752
Pm 2.1416 2.1416 13.0191
Pm 2.1416 2.1416 9.1925
Pm 2.1416 2.1416 1.6097
Pr 0.0000 0.0000 11.0694
Pr 0.0000 0.0000 3.6193
Pr 0.0000 0.0000 14.7657
Pr 0.0000 0.0000 7.3156
Tl 0.0000 0.0000 0.0000

=====

B:
10
Lattice="6.0612 0.0000 0.0000 3.0306 7.6809 0.0000 3.0306 0.0000 7.6809" Properties=species:S:1:pos:R:3 comment="Pm5Pr4Tl | the Alexandria database | PBE-GGA | optimized geometry" volume_a3_per_atom=35.76 pbc="T T T"
Pr 2.8164 2.3968 2.3970
Pr 5.8470 5.2839 2.3968
Pr 8.8776 5.2841 5.2839
Pr 5.8470 2.3970 5.2841
Pm 5.7724 2.8550 0.0001
Pm 4.0053 0.0000 0.0000
Pm 8.8030 7.6808 2.8550
Pm 5.7723 4.8259 7.6808
Pm 2.7417 0.0001 4.8259
Tl 1.0999 0.0000 0.0000

=====

What should be chosen as the least stable of them? Choose B.

=====

A:
7
Lattice="-4.7715 -0.6207 -1.0295 -2.0338 -4.4662 0.3596 -4.7328 0.2517 10.0239" Properties=species:S:1:pos:R:3 comment="PmPr2Tl4 | the Alexandria database | PBE-GGA | optimized geometry" volume_a3_per_atom=32.10 pbc="T T T"
Tl -8.6378 -3.6388 6.9501
Tl -6.6391 -1.7300 8.2951
Tl -2.9002 -1.1964 2.4039
Tl -4.8989 -3.1051 1.0589
Pr -7.7548 -4.3365 3.2784
Pr -3.7832 -0.4986 6.0755
Pm 0.0000 0.0000 0.0000

=====

B:
7
Lattice="-5.2923 1.6266 3.7736 -0.6749 -6.2000 -2.4492 5.6149 0.1037 3.6547" Properties=species:S:1:pos:R:3 comment="PmPr2Tl4 | the Alexandria database | PBE-GGA | optimized geometry" volume_a3_per_atom=33.05 pbc="T T T"
Tl 2.8074 0.0518 1.8274
Tl -0.3374 -3.1000 -1.2246
Tl -0.1762 -2.2349 2.4896
Tl -2.6462 0.8133 1.8868
Pr 0.1613 0.8651 3.7142
Pr -2.9836 -2.2867 0.6622
Pm 0.0000 0.0000 0.0000

=====

What should be chosen as the least stable of them? Choose A.

=====

A:
12
Lattice="-3.5139 4.0345 -4.0547 -6.6064 -4.9120 3.6402 -0.6104 4.6185 5.1245" Properties=species:S:1:pos:R:3 comment="PmPr4Tl | the Alexandria database | PBE-GGA | optimized geometry" volume_a3_per_atom=34.25 pbc="T T T"
Pr -4.6954 5.1624 -0.5000
Pr -6.0353 -1.4214 5.2100
Pr -5.2974 1.9999 4.5864
Pr -5.7343 -3.6991 2.6829
Pr -3.0448 4.3373 2.7481
Pr -4.9964 7.4400 2.0271
Pr -7.6859 -0.5963 1.9619
Pr -5.4334 1.7411 0.1236
Pm -6.6421 4.2101 2.4343
Pm -4.0887 -0.4691 2.2757
Tl -2.2377 1.9191 0.3438
Tl -8.4930 1.8219 4.3662

=====

B:
6
Lattice="4.2649 0.0000 0.0000 0.0000 4.2649 0.0000 0.0000 0.0000 11.0655" Properties=species:S:1:pos:R:3 comment="PmPr4Tl | the Alexandria database | PBE-GGA | optimized geometry" volume_a3_per_atom=33.55 pbc="T T T"
Pr 0.0000 0.0000 3.8800
Pr 2.1325 2.1325 9.2149
Pr 2.1325 2.1325 1.8506
Pr 0.0000 0.0000 7.1854
Tl 2.1325 2.1325 5.5327
Pm 0.0000 0.0000 0.0000

=====

What should be chosen as the least stable of them? Choose B.

=====

A:
7
Lattice="-4.9962 2.3797 -0.7781 2.8398 -2.0253 -4.3604 -3.9039 -6.8197 4.2097" Properties=species:S:1:pos:R:3 comment="Pm3Pr2Tl2 | the Alexandria database | PBE-GGA | optimized geometry" volume_a3_per_atom=32.06 pbc="T T T"
Pm -4.1973 -2.2199 0.0929
Pm -2.4981 1.1899 -0.3890
Pm -1.8630 -4.2454 -1.0217
Pr -3.2517 -1.3364 -3.2766
Pr -2.8086 -5.1289 2.3479
Tl -0.4414 -1.3928 -1.4258
Tl -5.6189 -5.0725 0.4971

=====

B:
7
Lattice="5.2322 0.0000 -1.1305 -0.1912 3.6520 -0.8851 -0.1834 0.9178 11.8244" Properties=species:S:1:pos:R:3 comment="Pm3Pr2Tl2 | the Alexandria database | PBE-GGA | optimized geometry" volume_a3_per_atom=32.80 pbc="T T T"
Pm 1.2934 3.4567 5.9862
Pm 0.0000 0.0000 0.0000
Pm 3.5642 1.1131 3.8227
Pr 1.9961 2.3435 9.2386
Pr 2.8614 2.2263 0.5703
Tl 0.6131 2.6581 2.8377
Tl 4.2444 1.9117 6.9712

=====

What should be chosen as the least stable of them? Choose B.

=====

A:
4
Lattice="-0.1457 -0.7195 -3.7055 -0.6559 -3.5154 -1.2171 -11.1758 0.6113 -1.6046" Properties=species:S:1:pos:R:3 comment="PmPr2Tl | the Alexandria database | PBE-GGA | optimized geometry" volume_a3_per_atom=34.28 pbc="T T T"
Tl -0.5380 -2.8226 -3.2817
Pr -8.6348 0.1401 -1.6130
Pr -2.8049 -0.9410 -1.6324
Pm -5.9886 -1.8118 -3.2636

=====

B:
4
Lattice="3.7173 0.0000 0.0000 0.0000 3.7173 0.0000 0.0000 0.0000 9.5739" Properties=species:S:1:pos:R:3 comment="PmPr2Tl | the Alexandria database | PBE-GGA | optimized geometry" volume_a3_per_atom=33.07 pbc="T T T"
Pr 0.0000 0.0000 7.3947
Pr 0.0000 0.0000 2.1792
Tl 1.8587 1.8587 0.0000
Pm 1.8587 1.8587 4.7870

=====

C:
4
Lattice="-1.2904 5.4946 0.3757 -1.3700 2.9081 -4.6543 -5.3314 1.7140 -0.7970" Properties=species:S:1:pos:R:3 comment="PmPr2Tl | the Alexandria database | PBE-GGA | optimized geometry" volume_a3_per_atom=31.99 pbc="T T T"
Pr -1.9980 2.5292 -1.2689
Pr -5.9939 7.5875 -3.8067
Tl 0.0000 0.0000 0.0000
Pm -3.9959 5.0584 -2.5378

=====

What should be chosen as the least stable of them? Choose C.

=====

A:
8
Lattice="5.0803 0.0000 0.0000 0.0000 5.0803 0.0000 0.0000 0.0000 10.5164" Properties=species:S:1:pos:R:3 comment="PmPr6Tl | the Alexandria database | PBE-GGA | optimized geometry" volume_a3_per_atom=33.93 pbc="T T T"
Pr 2.5402 0.0000 7.9639
Pr 0.0000 2.5402 7.9639
Pr 2.5402 0.0000 2.5525
Pr 2.5402 2.5402 0.0000
Pr 0.0000 2.5402 2.5525
Pr 2.5402 2.5402 5.2582
Pm 0.0000 0.0000 5.2582
Tl 0.0000 0.0000 0.0000

=====

B:
8
Lattice="-1.4252 -0.6991 6.4186 -2.3553 -5.7817 2.2759 6.7470 -4.8560 4.3501" Properties=species:S:1:pos:R:3 comment="PmPr6Tl | the Alexandria database | PBE-GGA | optimized geometry" volume_a3_per_atom=40.75 pbc="T T T"
Pr -0.5960 -7.0906 4.6320
Pr 2.2809 -8.4675 7.7091
Pr -0.7674 -5.3794 8.7125
Pr 0.6855 -2.8693 5.3356
Pr 3.7338 -5.9575 4.3321
Pr 3.5624 -4.2462 8.4126
Tl 0.0000 0.0000 0.0000
Pm 1.4832 -5.6684 6.5223

=====

What should be chosen as the least stable of them? Choose B.

=====

A:
8
Lattice="-2.2398 2.8782 -0.8703 -7.4575 -3.8911 -1.7529 -4.3524 1.2625 7.3000" Properties=species:S:1:pos:R:3 comment="Pm5PrTl2 | the Alexandria database | PBE-GGA | optimized geometry" volume_a3_per_atom=32.53 pbc="T T T"
Tl -3.3371 0.1633 1.0516
Tl -10.7126 0.0864 3.6252
Pr 0.0000 0.0000 0.0000
Pm -6.3990 -0.2633 -0.5562
Pm -5.0187 2.0275 3.4681
Pm -7.6507 0.5130 5.2330
Pm -5.9050 -1.3143 2.7735
Pm -9.0310 -1.7778 1.2087

=====

B:
16
Lattice="4.9849 0.0000 0.0000 0.0000 7.0316 0.0000 0.0000 0.0000 14.0497" Properties=species:S:1:pos:R:3 comment="Pm5PrTl2 | the Alexandria database | PBE-GGA | optimized geometry" volume_a3_per_atom=30.78 pbc="T T T"
Pm 0.0000 3.5312 10.5308
Pm 2.4924 1.7580 5.2608
Pm 0.0000 3.5158 7.0249
Pm 2.4924 5.2736 8.7889
Pm 2.4924 1.7578 12.2857
Pm 2.4924 5.2738 1.7640
Pm 0.0000 7.0162 3.5059
Pm 0.0000 3.5004 3.5190
Pm 0.0000 0.0000 0.0000
Pm 0.0000 0.0154 10.5438
Pr 0.0000 3.5158 0.0000
Pr 0.0000 0.0000 7.0249
Tl 2.4924 5.2540 5.2542
Tl 2.4924 1.7382 1.7706
Tl 2.4924 5.2934 12.2791
Tl 2.4924 1.7776 8.7955

=====

What should be chosen as the least stable of them? Choose A.

=====

A:
12
Lattice="-10.5401 0.9497 0.2301 -1.8565 -6.3031 -0.0637 -0.8118 -3.2436 5.6833" Properties=species:S:1:pos:R:3 comment="PmPr6Tl5 | the Alexandria database | PBE-GGA | optimized geometry" volume_a3_per_atom=32.50 pbc="T T T"
Pr -9.3963 -3.7507 0.1311
Pr -5.0024 -7.5300 3.6265
Pr -9.1023 -4.2439 3.7630
Pr -4.1061 -4.3531 2.0867
Pr -8.2061 -1.0670 2.2232
Pr -3.0004 -1.6027 0.0353
Tl -0.8835 -3.1870 2.1666
Tl -7.0935 -5.8544 1.6754
Tl -6.1150 -2.7426 4.1743
Tl -1.7849 -6.3598 3.4530
Tl -6.1983 -2.6767 0.0832
Pm 0.0000 0.0000 0.0000

=====

B:
12
Lattice="-4.6676 -0.8817 2.1913 3.8020 -5.1905 6.0093 -1.2613 5.9814 5.9643" Properties=species:S:1:pos:R:3 comment="PmPr6Tl5 | the Alexandria database | PBE-GGA | optimized geometry" volume_a3_per_atom=31.20 pbc="T T T"
Tl -3.9070 3.6723 5.6437
Tl -2.0597 0.7561 8.4050
Tl -0.0672 -0.8469 5.7599
Tl -2.0218 1.4273 2.5119
Tl 1.9010 -2.5953 3.0047
Pr -1.4306 -2.5549 8.4126
Pr 1.2288 -0.1642 8.7951
Pr -3.3557 0.0733 5.3698
Pr -1.2994 -1.8531 2.7306
Pr -0.6963 2.4640 5.7523
Pr 0.4338 -4.2192 5.4700
Pm 0.0000 0.0000 0.0000

=====

What should be chosen as the least stable of them? Choose A.

=====

A:
8
Lattice="4.4866 0.0000 -0.7226 -0.1926 4.9720 -1.1956 -0.4940 0.0463 11.2232" Properties=species:S:1:pos:R:3 comment="Pm2Pr3Tl3 | the Alexandria database | PBE-GGA | optimized geometry" volume_a3_per_atom=31.11 pbc="T T T"
Tl -0.0963 2.4860 -0.5978
Tl 0.4226 0.6474 2.6242
Tl 3.3774 4.3709 6.6808
Pm 3.0258 1.1988 4.4977
Pm 0.7742 3.8195 4.8073
Pr 2.5418 3.0908 1.4921
Pr 2.2433 0.0000 -0.3613
Pr 1.2583 1.9275 7.8129

=====

B:
16
Lattice="6.9200 0.0000 0.0000 0.0000 9.3336 0.0000 0.0000 -4.6668 8.0831" Properties=species:S:1:pos:R:3 comment="Pm2Pr3Tl3 | the Alexandria database | PBE-GGA | optimized geometry" volume_a3_per_atom=32.63 pbc="T T T"
Pm 3.4600 4.6668 2.6944
Pm 0.0000 4.6668 2.6944
Pm 3.4600 0.0000 5.3888
Pm 0.0000 0.0000 5.3888
Tl 5.1900 5.5575 0.0000
Tl 1.7300 -1.8880 3.2702
Tl 1.7300 3.7761 0.0000
Tl 5.1900 -2.7787 4.8129
Tl 5.1900 1.8880 3.2702
Tl 1.7300 2.7787 4.8129
Pr 1.7300 -3.5618 6.1692
Pr 1.7300 1.1050 1.9139
Pr 5.1900 2.2100 0.0000
Pr 5.1900 3.5618 6.1692
Pr 5.1900 -1.1050 1.9139
Pr 1.7300 7.1236 0.0000

=====

What should be chosen as the least stable of them? Choose A.

=====

A:
14
Lattice="-1.9128 9.7251 4.7221 0.7338 3.0131 -5.9083 -7.0367 -3.7011 4.7720" Properties=species:S:1:pos:R:3 comment="Pm4Pr2Tl | the Alexandria database | PBE-GGA | optimized geometry" volume_a3_per_atom=33.71 pbc="T T T"
Pm -6.6692 -0.4499 4.5930
Pm -3.0021 4.5748 -1.7971
Pm -1.5464 9.4871 -1.0073
Pm -5.2135 4.4623 5.3829
Pm -1.9113 7.9702 1.9419
Pm -6.3043 1.0669 1.6438
Pm -5.2152 7.8429 3.3386
Pm -3.0004 1.1942 0.2471
Pr -2.4908 4.2676 1.8790
Pr -5.7248 4.7696 1.7068
Pr -1.3302 1.7390 -3.0345
Pr -6.8854 7.2982 6.6202
Tl -0.5895 6.3691 -0.5931
Tl 0.0000 0.0000 0.0000

=====

B:
14
Lattice="-5.1060 2.4819 1.5310 -2.3642 -0.9376 -6.3649 -1.4167 -11.6799 2.2468" Properties=species:S:1:pos:R:3 comment="Pm4Pr2Tl | the Alexandria database | PBE-GGA | optimized geometry" volume_a3_per_atom=33.30 pbc="T T T"
Pr -6.3134 -5.5773 -2.3692
Pr -4.3210 -10.4907 1.3051
Pr -4.5659 0.3550 -3.8922
Pr -2.5734 -4.5583 -0.2179
Pm -4.7867 -2.2057 -1.5317
Pm -0.9651 -1.6058 -1.2503
Pm -3.1492 -5.4023 -3.5703
Pm -5.7376 -4.7334 0.9832
Pm -4.1002 -7.9300 -1.0554
Pm -7.9218 -8.5299 -1.3368
Pm -5.2464 -8.3846 -4.1413
Pm -3.6404 -1.7511 1.5542
Tl -2.5609 -2.3335 -4.2409
Tl -6.3260 -7.8022 1.6538

=====

What should be chosen as the least stable of them? Choose A.

=====

A:
16
Lattice="-1.6719 -0.0042 5.3975 1.8456 -4.7762 -2.3897 19.1120 4.4214 5.9236" Properties=species:S:1:pos:R:3 comment="PmPr5Tl2 | the Alexandria database | PBE-GGA | optimized geometry" volume_a3_per_atom=35.41 pbc="T T T"
Pm 5.4511 -2.0801 1.6869
Pm 13.8346 1.7212 7.2445
Pr 16.0357 3.7097 4.9701
Pr 11.4589 -0.6903 3.5490
Pr 7.8268 0.3314 5.3824
Pr 15.0071 0.1306 4.6487
Pr 0.7304 -1.3103 3.1830
Pr 4.2786 -0.4895 4.2827
Pr 3.0763 0.7117 0.9535
Pr 6.4797 1.4990 2.0083
Pr 18.5553 0.9514 5.7485
Pr 12.6323 2.9224 3.9153
Tl 8.4409 -1.3885 2.6136
Tl 10.8448 1.0296 6.3178
Tl 2.4613 -2.7718 0.7603
Tl 16.8244 2.4129 8.1711

=====

B:
8
Lattice="-2.4925 2.7247 -0.7456 0.7373 0.9320 -8.5768 -6.9563 -4.4647 -2.5787" Properties=species:S:1:pos:R:3 comment="PmPr5Tl2 | the Alexandria database | PBE-GGA | optimized geometry" volume_a3_per_atom=33.35 pbc="T T T"
Pr -2.1379 1.6581 -5.8291
Pr -5.5378 -0.7268 -3.1785
Pr -3.1095 -1.7664 -5.5777
Pr -3.1737 -0.0812 -8.7226
Pr -6.5736 -2.4661 -6.0720
Tl -6.6260 -0.7613 -9.1840
Tl -2.0854 -0.0468 -2.7170
Pm 0.0000 0.0000 0.0000

=====

What should be chosen as the least stable of them? Choose A.